[1]
Crystalline La2YTa at its relaxed geometry. Source: Alexandria, functional PBE-GGA.

The structure in POSCAR format:
```
La2YTa
1.0
5.9103 -1.6853 0.0000
5.9103 1.6853 0.0000
-1.4683 0.0000 5.8883
La Y Ta
2 1 1
Direct
0.0000 0.0000 0.0000
0.2222 0.2222 0.7853
0.4426 0.4426 0.4580
0.7043 0.7043 0.3109
```

=====

[2]
Crystalline LaYTa2 at its relaxed geometry. Source: Alexandria, functional PBE-GGA.

The structure in POSCAR format:
```
LaYTa2
1.0
3.0558 -5.1240 0.0000
3.0558 5.1240 0.0000
-0.0104 0.0000 3.0264
La Y Ta
1 1 2
Direct
0.0000 0.0000 0.0000
0.5000 0.5000 0.0000
0.0000 0.5000 0.5000
0.5000 0.0000 0.5000
```

=====

[3]
Crystalline LaYTa at its relaxed geometry. Source: Alexandria, functional PBE-GGA.

The structure in POSCAR format:
```
LaYTa
1.0
-1.6234 1.6234 7.9172
1.6234 -1.6234 7.9172
1.6234 1.6234 -7.9172
La Y Ta
1 1 1
Direct
0.0000 0.0000 0.0000
0.2896 0.2896 0.0000
0.6515 0.6515 0.0000
```

=====

no.,relative energy among the computed polymorphs (meV/atom)
1,72
2,333
3,0